a:
! PBE NdYNiAu, optimized geometry; values from VASP
! total moment: 0.0 μB/f.u.
&SYSTEM
  ibrav = 0, nat = 4, ntyp = 4
/
ATOMIC_SPECIES
Y 88.91 Y.upf
Nd 144.24 Nd.upf
Ni 58.69 Ni.upf
Au 196.97 Au.upf
CELL_PARAMETERS angstrom
3.873 0.000 0.000
0.000 4.619 0.000
-1.936 0.000 5.264
ATOMIC_POSITIONS crystal
Y 0.862 0.500 0.724
Nd 0.143 0.000 0.285
Ni 0.420 0.000 0.839
Au 0.576 0.500 0.151

b:
! PBE NdYNiAu, optimized geometry; values from VASP
! total moment: 0.0 μB/f.u.
&SYSTEM
  ibrav = 0, nat = 4, ntyp = 4
/
ATOMIC_SPECIES
Ni 58.69 Ni.upf
Nd 144.24 Nd.upf
Au 196.97 Au.upf
Y 88.91 Y.upf
CELL_PARAMETERS angstrom
-3.641 3.226 1.375
-4.844 -1.113 -0.922
-3.097 -1.164 3.822
ATOMIC_POSITIONS crystal
Ni 0.000 0.000 0.000
Nd 0.250 0.250 0.250
Au 0.500 0.500 0.500
Y 0.750 0.750 0.750

Most stable structure among those shown: a. Next: +61 meV per atom.